Record 1
! GGA-PBE NaHSe2N, optimized geometry; values from VASP
&SYSTEM
  ibrav = 0, nat = 5, ntyp = 4
/
ATOMIC_SPECIES
H 1.01 H.upf
Se 78.96 Se.upf
Na 22.99 Na.upf
N 14.01 N.upf
CELL_PARAMETERS angstrom
-0.9570 4.5168 -2.5788
-5.0419 -0.1618 1.5876
0.6464 1.3900 2.1946
ATOMIC_POSITIONS crystal
H 0.0000 0.0000 0.0000
Se 0.0000 0.5000 0.0000
Na 0.5000 0.5000 0.5000
N 0.0000 0.0000 0.5000
Se 0.5000 0.0000 0.0000
! Offset from the most stable computed form in meV/atom: 0
! Magnetic moment in μB per formula unit: 0.4

***

Record 2
! GGA-PBE NaHSe2N, optimized geometry; values from VASP
&SYSTEM
  ibrav = 0, nat = 5, ntyp = 4
/
ATOMIC_SPECIES
Na 22.99 Na.upf
Se 78.96 Se.upf
H 1.01 H.upf
N 14.01 N.upf
CELL_PARAMETERS angstrom
-0.5754 1.3153 -5.3911
3.8337 -3.8244 -1.3423
-3.4505 -3.3051 -0.4381
ATOMIC_POSITIONS crystal
Na 0.0000 0.0000 0.0000
Se 0.5000 0.0000 0.0000
H 0.5000 0.5000 0.5000
N 0.0000 0.0000 0.5000
Se 0.0000 0.5000 0.0000
! Offset from the most stable computed form in meV/atom: 1146
! Magnetic moment in μB per formula unit: 1.0

***

Record 3
! GGA-PBE NaSiH2N, optimized geometry; values from VASP
&SYSTEM
  ibrav = 0, nat = 5, ntyp = 4
/
ATOMIC_SPECIES
N 14.01 N.upf
H 1.01 H.upf
Si 28.09 Si.upf
Na 22.99 Na.upf
CELL_PARAMETERS angstrom
3.4455 0.0000 0.0000
0.0000 6.2808 0.0000
0.0000 0.0000 3.4455
ATOMIC_POSITIONS crystal
N 0.5000 0.5000 0.5000
H 0.0000 0.0000 0.5000
H 0.5000 0.0000 0.0000
Si 0.0000 0.0000 0.0000
Na 0.0000 0.5000 0.0000
! E_tot in Ha/atom: -0.123
! Magnetic moment in μB per formula unit: 1.7

***

Record 4
! GGA-PBE NaTe2HN, optimized geometry; values from VASP
&SYSTEM
  ibrav = 0, nat = 5, ntyp = 4
/
ATOMIC_SPECIES
Na 22.99 Na.upf
H 1.01 H.upf
Te 127.60 Te.upf
N 14.01 N.upf
CELL_PARAMETERS angstrom
-3.6297 1.6659 -3.7646
0.0071 -5.0164 -2.2267
-3.1540 -1.1320 2.5400
ATOMIC_POSITIONS crystal
Na 0.0000 0.0000 0.0000
H 0.5000 0.5000 0.5000
Te 0.5000 0.0000 0.0000
N 0.0000 0.0000 0.5000
Te 0.0000 0.5000 0.0000
! Offset from the most stable computed form in meV/atom: 1124
! Magnetic moment in μB per formula unit: 0.7

***

Record 5
! GGA-PBE NaTe2HN, optimized geometry; values from VASP
&SYSTEM
  ibrav = 0, nat = 5, ntyp = 4
/
ATOMIC_SPECIES
Na 22.99 Na.upf
Te 127.60 Te.upf
N 14.01 N.upf
H 1.01 H.upf
CELL_PARAMETERS angstrom
-1.2489 5.1825 -1.4366
-4.8311 -1.7291 -2.0378
-1.2513 0.4216 2.6088
ATOMIC_POSITIONS crystal
Na 0.5000 0.5000 0.5000
Te 0.5000 0.0000 0.0000
Te 0.0000 0.5000 0.0000
N 0.0000 0.0000 0.5000
H 0.0000 0.0000 0.0000
! Offset from the most stable computed form in meV/atom: 0
! Magnetic moment in μB per formula unit: 0.0

***

Record 6
! GGA-PBE Nb3H2N, optimized geometry; values from VASP
&SYSTEM
  ibrav = 0, nat = 24, ntyp = 3
/
ATOMIC_SPECIES
H 1.01 H.upf
Nb 92.91 Nb.upf
N 14.01 N.upf
CELL_PARAMETERS angstrom
-1.7581 -3.4935 -3.6804
5.3544 0.2958 -0.2879
-1.0914 -5.2221 8.1210
ATOMIC_POSITIONS crystal
H 0.2488 0.2488 0.4976
Nb 0.7542 0.7542 0.0000
Nb 0.0833 0.0813 0.6663
H 0.4988 0.9988 0.9976
N 0.3341 0.8341 0.6681
Nb 0.5830 0.5851 0.6663
N 0.1659 0.6659 0.3319
H 0.5836 0.5836 0.1673
H 0.8336 0.3336 0.6673
Nb 0.2458 0.2458 0.0000
N 0.0841 0.0841 0.1681
Nb 0.4149 0.4170 0.3337
Nb 0.9187 0.9167 0.3337
Nb 0.0042 0.5042 0.5000
Nb 0.3313 0.8333 0.1663
Nb 0.1667 0.6687 0.8337
Nb 0.8351 0.3330 0.1663
Nb 0.4958 0.9958 0.5000
H 0.7512 0.7512 0.5024
H 0.0012 0.5012 0.0024
Nb 0.6670 0.1649 0.8337
H 0.4164 0.4164 0.8327
H 0.6664 0.1664 0.3327
N 0.9159 0.9159 0.8319
! E_tot in Ha/atom: -0.297
! Magnetic moment in μB per formula unit: 0.0

***

Record 7
! GGA-PBE Nb4HN, optimized geometry; values from VASP
&SYSTEM
  ibrav = 0, nat = 12, ntyp = 3
/
ATOMIC_SPECIES
Nb 92.91 Nb.upf
H 1.01 H.upf
N 14.01 N.upf
CELL_PARAMETERS angstrom
5.2302 1.2541 0.0000
0.5337 5.3519 0.0000
0.0000 0.0000 5.9626
ATOMIC_POSITIONS crystal
Nb 0.7496 0.7496 0.2500
Nb 0.2504 0.2504 0.7500
Nb 0.7496 0.7496 0.7500
H 0.9999 0.0001 0.2500
H 0.0001 0.9999 0.7500
Nb 0.2517 0.7483 0.5000
Nb 0.2504 0.2504 0.2500
N 0.5000 0.5000 0.7500
Nb 0.7483 0.2517 0.0000
N 0.5000 0.5000 0.2500
Nb 0.2517 0.7483 0.0000
Nb 0.7483 0.2517 0.5000
! Offset from the most stable computed form in meV/atom: 51
! Magnetic moment in μB per formula unit: 0.0

***

Record 8
! GGA-PBE Nb3HN, optimized geometry; values from VASP
&SYSTEM
  ibrav = 0, nat = 20, ntyp = 3
/
ATOMIC_SPECIES
N 14.01 N.upf
Nb 92.91 Nb.upf
H 1.01 H.upf
CELL_PARAMETERS angstrom
-2.6294 -3.4937 -2.7503
-3.4401 -3.1027 5.2653
-6.0149 3.5363 -0.7065
ATOMIC_POSITIONS crystal
N 0.9957 0.3338 0.1700
Nb 0.6297 0.1182 0.6177
Nb 0.6197 0.7955 0.9566
Nb 0.3951 0.5377 0.7024
Nb 0.1197 0.9566 0.7955
N 0.4957 0.1700 0.3338
Nb 0.8803 0.0434 0.2045
Nb 0.3703 0.8818 0.3823
H 0.7500 0.7489 0.2511
H 0.7500 0.0845 0.9155
Nb 0.8951 0.7024 0.5377
Nb 0.1297 0.6177 0.1182
N 0.5043 0.8300 0.6662
H 0.2500 0.9155 0.0845
N 0.0043 0.6662 0.8300
Nb 0.8703 0.3823 0.8818
Nb 0.1049 0.2976 0.4623
Nb 0.6049 0.4623 0.2976
H 0.2500 0.2511 0.7489
Nb 0.3803 0.2045 0.0434
! Offset from the most stable computed form in meV/atom: 0
! Magnetic moment in μB per formula unit: 0.0

***

Record 9
! GGA-PBE Nb2HN, optimized geometry; values from VASP
&SYSTEM
  ibrav = 0, nat = 8, ntyp = 3
/
ATOMIC_SPECIES
Nb 92.91 Nb.upf
N 14.01 N.upf
H 1.01 H.upf
CELL_PARAMETERS angstrom
-0.4104 2.0463 -4.1660
-4.3933 -1.5204 -0.3141
-3.8860 4.1291 -0.1948
ATOMIC_POSITIONS crystal
Nb 0.6168 0.1250 0.2500
N 0.7500 0.2500 0.5000
Nb 0.3750 0.3832 0.7500
Nb 0.1332 0.6250 0.2500
H 0.2500 0.7500 0.5000
Nb 0.8750 0.8668 0.7500
N 0.0000 0.0000 0.0000
H 0.5000 0.5000 0.0000
! Offset from the most stable computed form in meV/atom: 9
! Magnetic moment in μB per formula unit: 0.0

***

Record 10
! GGA-PBE NbHN, optimized geometry; values from VASP
&SYSTEM
  ibrav = 0, nat = 6, ntyp = 3
/
ATOMIC_SPECIES
Nb 92.91 Nb.upf
H 1.01 H.upf
N 14.01 N.upf
CELL_PARAMETERS angstrom
3.0795 -0.0034 -0.0011
1.4115 3.8247 0.0008
0.0829 1.0926 4.5697
ATOMIC_POSITIONS crystal
Nb 0.9075 0.4946 0.1908
H 0.5184 0.2386 0.3764
H 0.0220 0.7965 0.5707
N 0.1753 0.9430 0.0938
N 0.8811 0.6055 0.6964
Nb 0.5669 0.1801 0.7841
! Offset from the most stable computed form in meV/atom: 88
! Magnetic moment in μB per formula unit: 0.0

***

Record 11
! GGA-PBE NbH3N, optimized geometry; values from VASP
&SYSTEM
  ibrav = 0, nat = 5, ntyp = 3
/
ATOMIC_SPECIES
H 1.01 H.upf
Nb 92.91 Nb.upf
N 14.01 N.upf
CELL_PARAMETERS angstrom
3.2225 0.0000 0.0000
0.0000 3.2225 0.0000
0.0000 0.0000 3.2225
ATOMIC_POSITIONS crystal
H 0.0000 0.5000 0.0000
Nb 0.5000 0.5000 0.5000
H 0.5000 0.0000 0.0000
N 0.0000 0.0000 0.0000
H 0.0000 0.0000 0.5000
! Offset from the most stable computed form in meV/atom: 0
! Magnetic moment in μB per formula unit: 0.7

***

Record 12
! GGA-PBE Nb6HN, optimized geometry; values from VASP
&SYSTEM
  ibrav = 0, nat = 8, ntyp = 3
/
ATOMIC_SPECIES
Nb 92.91 Nb.upf
N 14.01 N.upf
H 1.01 H.upf
CELL_PARAMETERS angstrom
-0.6720 4.7556 2.5244
-2.5052 3.4419 -2.5011
-5.1955 0.9337 2.0743
ATOMIC_POSITIONS crystal
Nb 0.7600 0.0052 0.7570
Nb 0.8975 0.6168 0.2854
Nb 0.6005 0.3037 0.2269
Nb 0.1025 0.3832 0.7146
N 0.0000 0.0000 0.0000
H 0.5000 0.5000 0.5000
Nb 0.2400 0.9948 0.2430
Nb 0.3995 0.6963 0.7731
! E_tot in Ha/atom: -0.344
! Magnetic moment in μB per formula unit: 0.0

***

Record 13
! GGA-PBE NbHN, optimized geometry; values from VASP
&SYSTEM
  ibrav = 0, nat = 3, ntyp = 3
/
ATOMIC_SPECIES
N 14.01 N.upf
Nb 92.91 Nb.upf
H 1.01 H.upf
CELL_PARAMETERS angstrom
-0.1813 0.0307 -3.4425
2.8048 -0.6950 -1.8800
0.2044 -2.9553 -1.7632
ATOMIC_POSITIONS crystal
N 0.0000 0.0000 0.0000
Nb 0.2500 0.2500 0.2500
H 0.5000 0.5000 0.5000
! Offset from the most stable computed form in meV/atom: 174
! Magnetic moment in μB per formula unit: 0.2

***

Record 14
! GGA-PBE NbHN, optimized geometry; values from VASP
&SYSTEM
  ibrav = 0, nat = 12, ntyp = 3
/
ATOMIC_SPECIES
N 14.01 N.upf
H 1.01 H.upf
Nb 92.91 Nb.upf
CELL_PARAMETERS angstrom
-3.4689 1.1554 3.8988
-1.7940 -3.9042 -3.1793
4.7097 -1.8691 2.4506
ATOMIC_POSITIONS crystal
N 0.6250 0.3750 0.2500
H 0.1119 0.1119 0.2237
Nb 0.0234 0.9766 0.5000
Nb 0.2266 0.7734 0.0000
Nb 0.4766 0.5234 0.5000
H 0.8881 0.8881 0.7763
H 0.3619 0.8619 0.7237
N 0.1250 0.3750 0.7500
H 0.1381 0.6381 0.2763
Nb 0.7734 0.2266 0.0000
N 0.6250 0.3750 0.7500
N 0.6250 0.8750 0.2500
! Offset from the most stable computed form in meV/atom: 405
! Magnetic moment in μB per formula unit: 0.0

***

Record 15
! GGA-PBE NbHN, optimized geometry; values from VASP
&SYSTEM
  ibrav = 0, nat = 12, ntyp = 3
/
ATOMIC_SPECIES
H 1.01 H.upf
Nb 92.91 Nb.upf
N 14.01 N.upf
CELL_PARAMETERS angstrom
4.8648 0.0000 -0.0024
0.0000 3.0356 0.0000
-1.3922 0.0000 7.3403
ATOMIC_POSITIONS crystal
H 0.6246 0.0000 0.1129
H 0.6246 0.5000 0.6129
Nb 0.2275 0.0000 0.0606
N 0.2623 0.0000 0.7709
Nb 0.8209 0.5000 0.2283
N 0.9088 0.5000 0.9516
N 0.2623 0.5000 0.2709
Nb 0.8209 0.0000 0.7283
H 0.4437 0.0000 0.5048
N 0.9088 0.0000 0.4516
Nb 0.2275 0.5000 0.5606
H 0.4437 0.5000 0.0048
! Offset from the most stable computed form in meV/atom: 0
! Magnetic moment in μB per formula unit: 0.0

***

Record 16
! GGA-PBE Nb6H2N, optimized geometry; values from VASP
&SYSTEM
  ibrav = 0, nat = 18, ntyp = 3
/
ATOMIC_SPECIES
Nb 92.91 Nb.upf
N 14.01 N.upf
H 1.01 H.upf
CELL_PARAMETERS angstrom
-5.0333 -1.5576 1.4299
1.7996 -2.0053 4.1506
-2.1383 7.4959 4.5486
ATOMIC_POSITIONS crystal
Nb 0.6348 0.2923 0.1978
N 0.5000 0.5000 0.0000
Nb 0.3607 0.7555 0.4693
H 0.4365 0.0392 0.3206
Nb 0.3606 0.7987 0.1426
Nb 0.8652 0.7923 0.3022
Nb 0.6393 0.2445 0.5307
Nb 0.1348 0.2077 0.6978
N 0.0000 0.0000 0.5000
H 0.0635 0.5392 0.1794
Nb 0.8607 0.7445 0.9693
Nb 0.1393 0.2555 0.0307
H 0.9365 0.4608 0.8206
Nb 0.8606 0.7013 0.6426
Nb 0.3652 0.7077 0.8022
H 0.5635 0.9608 0.6794
Nb 0.1394 0.2987 0.3574
Nb 0.6394 0.2013 0.8574
! E_tot in Ha/atom: -0.321
! Magnetic moment in μB per formula unit: 0.0

***

Record 17
! GGA-PBE NbH2N, optimized geometry; values from VASP
&SYSTEM
  ibrav = 0, nat = 8, ntyp = 3
/
ATOMIC_SPECIES
H 1.01 H.upf
Nb 92.91 Nb.upf
N 14.01 N.upf
CELL_PARAMETERS angstrom
2.9972 0.0000 0.0000
0.0000 2.9972 0.0000
1.4986 1.4986 7.7750
ATOMIC_POSITIONS crystal
H 0.3750 0.1245 0.7500
Nb 0.0000 0.0000 0.0000
Nb 0.7500 0.2500 0.5000
N 0.2500 0.7500 0.5000
H 0.8745 0.6250 0.2500
H 0.8755 0.1250 0.2500
H 0.8750 0.1255 0.7500
N 0.5000 0.5000 0.0000
! Offset from the most stable computed form in meV/atom: 0
! Magnetic moment in μB per formula unit: 0.0

***

Record 18
! GGA-PBE Nb4H2N, optimized geometry; values from VASP
&SYSTEM
  ibrav = 0, nat = 7, ntyp = 3
/
ATOMIC_SPECIES
H 1.01 H.upf
Nb 92.91 Nb.upf
N 14.01 N.upf
CELL_PARAMETERS angstrom
4.2130 0.0000 0.0000
0.0000 4.2130 0.0000
2.1065 2.1065 4.8200
ATOMIC_POSITIONS crystal
H 0.5716 0.5716 0.8567
Nb 0.7632 0.7632 0.4736
Nb 0.2368 0.2368 0.5264
N 0.0000 0.0000 0.0000
Nb 0.0000 0.5000 0.0000
H 0.4284 0.4284 0.1433
Nb 0.5000 0.0000 0.0000
! E_tot in Ha/atom: -0.300
! Magnetic moment in μB per formula unit: 0.0

***

Record 19
! GGA-PBE NbHN, optimized geometry; values from VASP
&SYSTEM
  ibrav = 0, nat = 12, ntyp = 3
/
ATOMIC_SPECIES
N 14.01 N.upf
H 1.01 H.upf
Nb 92.91 Nb.upf
CELL_PARAMETERS angstrom
4.4890 0.0000 -0.0010
0.0000 3.1388 0.0000
-1.5199 0.0000 7.5686
ATOMIC_POSITIONS crystal
N 0.8524 0.5000 0.9532
N 0.2652 0.0000 0.7818
H 0.6149 0.0000 0.4625
H 0.6057 0.0000 0.1130
Nb 0.7642 0.5000 0.2399
N 0.8524 0.0000 0.4532
H 0.6149 0.5000 0.9625
H 0.6057 0.5000 0.6130
Nb 0.1854 0.5000 0.5788
N 0.2652 0.5000 0.2818
Nb 0.7642 0.0000 0.7399
Nb 0.1854 0.0000 0.0788
! Offset from the most stable computed form in meV/atom: 68
! Magnetic moment in μB per formula unit: 0.0

***

Record 20
! GGA-PBE Nb2HN, optimized geometry; values from VASP
&SYSTEM
  ibrav = 0, nat = 4, ntyp = 3
/
ATOMIC_SPECIES
H 1.01 H.upf
N 14.01 N.upf
Nb 92.91 Nb.upf
CELL_PARAMETERS angstrom
-1.5308 0.8319 2.6152
-2.9946 -0.8601 0.4086
0.2921 -5.0204 3.6559
ATOMIC_POSITIONS crystal
H 0.0000 0.0000 0.0000
N 0.5000 0.5000 0.5000
Nb 0.0994 0.0994 0.7017
Nb 0.9006 0.9006 0.2983
! Offset from the most stable computed form in meV/atom: 109
! Magnetic moment in μB per formula unit: 0.0

***

Record 21
! GGA-PBE NbHN, optimized geometry; values from VASP
&SYSTEM
  ibrav = 0, nat = 3, ntyp = 3
/
ATOMIC_SPECIES
N 14.01 N.upf
Nb 92.91 Nb.upf
H 1.01 H.upf
CELL_PARAMETERS angstrom
-2.0458 -1.5905 1.4888
1.5176 0.4248 2.5392
-1.9965 3.1859 0.6602
ATOMIC_POSITIONS crystal
N 0.5000 0.5000 0.5000
Nb 0.0000 0.0000 0.5000
H 0.0000 0.0000 0.0000
! Offset from the most stable computed form in meV/atom: 133
! Magnetic moment in μB per formula unit: 0.0

***

Record 22
! GGA-PBE Nb2HN, optimized geometry; values from VASP
&SYSTEM
  ibrav = 0, nat = 4, ntyp = 3
/
ATOMIC_SPECIES
Nb 92.91 Nb.upf
H 1.01 H.upf
N 14.01 N.upf
CELL_PARAMETERS angstrom
-0.9700 -2.6146 1.4214
1.6987 -2.6202 -0.2143
2.9182 -0.3671 4.7625
ATOMIC_POSITIONS crystal
Nb 0.2592 0.2592 0.2223
H 0.4901 0.4901 0.5297
N 0.6702 0.6702 0.9893
Nb 0.0804 0.0804 0.7587
! Offset from the most stable computed form in meV/atom: 0
! Magnetic moment in μB per formula unit: 0.0

***

Record 23
! GGA-PBE Nb4HN, optimized geometry; values from VASP
&SYSTEM
  ibrav = 0, nat = 12, ntyp = 3
/
ATOMIC_SPECIES
N 14.01 N.upf
Nb 92.91 Nb.upf
H 1.01 H.upf
CELL_PARAMETERS angstrom
5.9935 -0.0308 0.0000
-2.4484 5.4707 0.0000
-1.7726 -2.7200 5.0382
ATOMIC_POSITIONS crystal
N 0.7562 0.7562 0.0000
Nb 0.2667 0.9923 0.7256
Nb 0.7904 0.0009 0.7895
H 0.2086 0.2086 0.0000
N 0.5062 0.0062 0.5000
Nb 0.7509 0.4613 0.7105
Nb 0.7423 0.5167 0.2256
Nb 0.2113 0.0009 0.2105
H 0.9586 0.4586 0.5000
Nb 0.2910 0.5167 0.7744
Nb 0.7509 0.0404 0.2895
Nb 0.2667 0.5410 0.2744
! Offset from the most stable computed form in meV/atom: 0
! Magnetic moment in μB per formula unit: 0.0

***

Record 24
! GGA-PBE Nb2HN, optimized geometry; values from VASP
&SYSTEM
  ibrav = 0, nat = 8, ntyp = 3
/
ATOMIC_SPECIES
N 14.01 N.upf
H 1.01 H.upf
Nb 92.91 Nb.upf
CELL_PARAMETERS angstrom
-0.9164 -4.0024 -0.5255
1.5377 -0.9750 3.7175
-4.7049 0.7944 2.1544
ATOMIC_POSITIONS crystal
N 0.3695 0.3695 0.9509
H 0.9234 0.9234 0.7214
Nb 0.8753 0.3814 0.7890
Nb 0.3814 0.8753 0.7890
H 0.0766 0.0766 0.2214
Nb 0.6186 0.1247 0.2890
N 0.6305 0.6305 0.4509
Nb 0.1247 0.6186 0.2890
! Offset from the most stable computed form in meV/atom: 49
! Magnetic moment in μB per formula unit: 0.0